Ho2AgSb4 | the Alexandria database | GGA-PBE | relaxed; density = 8241 kg/m3; ΔE_f (raw) = -0.597 eV/atom; symmetry = No. 115; electronic total energy = -4.6675 eV per atom; N(E_F) = 2.70 states/eV/cell; spin magnetization = 0.00 μB/cell
1.0
4.3901 0.0000 0.0000
0.0000 4.3901 0.0000
0.0000 0.0000 9.6688
Ho Ag Sb
2 1 4
Direct
0.0000 0.5000 0.2490
0.5000 0.0000 0.7510
0.5000 0.5000 0.0000
0.0000 0.0000 0.5000
0.0000 0.5000 0.8302
0.5000 0.0000 0.1698
0.5000 0.5000 0.5000

---

HoAgSb2 | the Alexandria database | GGA-PBE | relaxed; density = 7987 kg/m3; ΔE_f (raw) = -0.270 eV/atom; symmetry = No. 166; electronic total energy = -4.1885 eV per atom; N(E_F) = 2.73 states/eV/cell; spin magnetization = 0.00 μB/cell
1.0
2.2826 1.3178 5.9480
-2.2826 1.3178 5.9480
0.0000 -2.6357 5.9480
Ho Ag Sb
1 1 2
Direct
0.0000 0.0000 0.0000
0.5000 0.5000 0.5000
0.2444 0.2444 0.2444
0.7556 0.7556 0.7556

---

HoAg2Sb | the Alexandria database | GGA-PBE | relaxed; density = 9279 kg/m3; ΔE_f (raw) = -0.412 eV/atom; symmetry = No. 123; electronic total energy = -4.0123 eV per atom; N(E_F) = 1.57 states/eV/cell; spin magnetization = 0.00 μB/cell
1.0
4.2937 0.0000 0.0000
0.0000 4.2937 0.0000
0.0000 0.0000 4.8771
Ho Ag Sb
1 2 1
Direct
0.0000 0.0000 0.0000
0.0000 0.5000 0.5000
0.5000 0.0000 0.5000
0.5000 0.5000 0.0000

---

Ho6AgSb2 | the Alexandria database | GGA-PBE | relaxed; density = 8673 kg/m3; ΔE_f (raw) = -0.480 eV/atom; symmetry = No. 14; electronic total energy = -4.7646 eV per atom; N(E_F) = 20.00 states/eV/cell; spin magnetization = 0.00 μB/cell
1.0
6.3627 0.0000 0.0000
0.0000 8.0559 0.0000
-6.2323 0.0000 10.0173
Ho Ag Sb
12 2 4
Direct
0.0849 0.0358 0.2328
0.0849 0.4642 0.7328
0.1656 0.7012 0.0494
0.1656 0.7988 0.5494
0.4112 0.1610 0.0455
0.4112 0.3390 0.5455
0.5888 0.6610 0.4545
0.5888 0.8390 0.9545
0.8344 0.2012 0.4506
0.8344 0.2988 0.9506
0.9151 0.5358 0.2672
0.9151 0.9642 0.7672
0.5000 0.0000 0.5000
0.5000 0.5000 0.0000
0.3418 0.1178 0.7418
0.3418 0.3822 0.2418
0.6582 0.6178 0.7582
0.6582 0.8822 0.2582